1.
Sr2SiRh, optimized geometry, DFT PBE; symmetry = I-42d; uncorrected energy = -4.388 eV per atom
1.0
-8.438 5.423 -4.958
-2.617 -9.273 -5.689
-6.938 -2.568 -3.627
Sr Si Rh
4 2 2
direct
0.807 0.125 0.250
0.943 0.625 0.250
0.375 0.193 0.750
0.875 0.057 0.750
0.500 0.500 0.000
0.250 0.750 0.500
0.000 0.000 0.000
0.750 0.250 0.500

2.
SrZn2SiRh, optimized geometry, DFT PBE; symmetry = P4/mmm; uncorrected energy = -3.728 eV per atom
1.0
-3.530 3.347 0.003
-1.195 -1.257 -4.545
-2.949 -3.112 1.636
Sr Zn Rh Si
1 2 1 1
direct
0.500 0.500 0.500
0.000 0.500 0.000
0.500 0.000 0.000
0.000 0.000 0.000
0.000 0.000 0.500

3.
SrZn2SiRh, optimized geometry, DFT PBE; symmetry = Imm2; uncorrected energy = -3.817 eV per atom
1.0
-3.142 2.671 0.502
-2.789 -3.043 -1.269
2.412 -1.419 5.450
Sr Zn Si Rh
1 2 1 1
direct
0.441 0.441 0.882
0.696 0.196 0.392
0.059 0.059 0.119
0.814 0.814 0.628
0.202 0.702 0.403

4.
TaSiRh3, optimized geometry, DFT PBE; symmetry = Pm-3m; uncorrected energy = -6.785 eV per atom
1.0
4.717 0.000 0.000
0.000 4.717 0.000
0.000 0.000 4.717
Si Rh Ta
1 3 1
direct
0.500 0.500 0.500
0.000 0.500 0.000
0.000 0.000 0.500
0.500 0.000 0.000
0.000 0.000 0.000

What is the uncorrected energy in the second record?
-3.728 eV per atom